ScTa2Ni: optimized geometry, GGA-PBE.

Output
**Energy relative to the lowest polymorph listed for this composition**: 0.099 eV per atom
**Final energy**: -35.7 eV per cell
**Space-group type**: No. 47
**Formation energy**: 0.04 eV/atom

a b c (Å): 3.192 4.443 4.874
angles (deg): 90.00 90.00 90.00
Element x y z (fractional)
Ni (0.500, 0.000, 0.500)
Sc (0.000, 0.500, 0.500)
Ta (0.000, 0.000, 0.000)
Ta (0.500, 0.500, 0.000)